(1)
A plane-wave DFT calculation with PBE was carried out for CsK2S2 after structural relaxation.

```
data_CsK2S2
_space_group_name_H-M_alt 'P 1'
_space_group_IT_number 1
_cell_length_a 9.226
_cell_length_b 9.226
_cell_length_c 3.598
_cell_angle_alpha 90.00
_cell_angle_beta 90.00
_cell_angle_gamma 90.00
loop_
_space_group_symop_operation_xyz
'x,y,z'
loop_
_atom_site_label
_atom_site_fract_x
_atom_site_fract_y
_atom_site_fract_z
_atom_site_occupancy
K1 0.877 0.623 0.000 1
S1 0.326 0.174 0.500 1
Cs1 0.500 0.500 0.000 1
S2 0.674 0.826 0.500 1
K2 0.377 0.877 0.000 1
S3 0.826 0.326 0.500 1
K3 0.123 0.377 0.000 1
S4 0.174 0.674 0.500 1
Cs2 0.000 0.000 0.000 1
K4 0.623 0.123 0.000 1
```

As for the distance to the lowest polymorph of the same formula: 0 meV per atom. For the raw total energy, the calculation gives -3.083 eV/atom. The space group is No. 127. The value obtained for the uncorrected formation energy is -0.822 eV per atom.

=====

(2)
A plane-wave DFT calculation with PBE was carried out for CsK2SbS4 after structural relaxation.

```
data_CsK2SbS4
_space_group_name_H-M_alt 'P 1'
_space_group_IT_number 1
_cell_length_a 8.056
_cell_length_b 7.275
_cell_length_c 7.275
_cell_angle_alpha 76.93
_cell_angle_beta 56.38
_cell_angle_gamma 56.38
loop_
_space_group_symop_operation_xyz
'x,y,z'
loop_
_atom_site_label
_atom_site_fract_x
_atom_site_fract_y
_atom_site_fract_z
_atom_site_occupancy
S1 0.655 0.526 0.818 1
S2 0.345 0.182 0.474 1
K1 0.500 0.750 0.250 1
K2 0.500 0.250 0.750 1
S3 0.000 0.474 0.182 1
Cs1 0.000 0.000 0.000 1
S4 0.000 0.818 0.526 1
Sb1 0.000 0.500 0.500 1
```

For the raw total energy, the calculation gives -3.843 eV/atom. The space group is No. 121. The value obtained for the uncorrected formation energy is -0.883 eV per atom.

=====

(3)
A plane-wave DFT calculation with PBE was carried out for CsKSbS3 after structural relaxation.

```
data_CsKSbS3
_space_group_name_H-M_alt 'P 1'
_space_group_IT_number 1
_cell_length_a 7.464
_cell_length_b 7.464
_cell_length_c 10.097
_cell_angle_alpha 66.45
_cell_angle_beta 66.45
_cell_angle_gamma 69.56
loop_
_space_group_symop_operation_xyz
'x,y,z'
loop_
_atom_site_label
_atom_site_fract_x
_atom_site_fract_y
_atom_site_fract_z
_atom_site_occupancy
S1 0.240 0.240 0.637 1
S2 0.838 0.301 0.169 1
S3 0.760 0.760 0.363 1
Sb1 0.033 0.033 0.837 1
K1 0.286 0.714 0.500 1
Cs1 0.319 0.319 0.159 1
Cs2 0.681 0.681 0.841 1
Sb2 0.967 0.967 0.163 1
S4 0.162 0.699 0.831 1
K2 0.714 0.286 0.500 1
S5 0.301 0.838 0.169 1
S6 0.699 0.162 0.831 1
```

For the raw total energy, the calculation gives -3.789 eV/atom. The space group is No. 12. The value obtained for the uncorrected formation energy is -0.713 eV per atom.

=====

The highest raw total energy belongs to which entry? CsK2S2